[1]
Computed, not measured: RbAuCl2F after structural relaxation at the PBE level of DFT.

Cell and atoms, written as POSCAR:
```
RbAuCl2F
1.0
5.1064 0.0000 0.0000
0.0000 5.1064 0.0000
0.0000 0.0000 4.6287
Rb Au Cl F
1 1 2 1
Direct
0.0000 0.0000 0.0000
0.5000 0.5000 0.5000
0.0000 0.5000 0.5000
0.5000 0.0000 0.5000
0.5000 0.5000 0.0000
```

Calculated values
The value obtained for the mass density is 5.12 g cm⁻³. The space group is No. 123. The uncorrected formation energy comes out at -1.17 eV per atom. The volume comes out at 24.139 A^3/atom.

[2]
Computed, not measured: AuSCl2F after structural relaxation at the PBE level of DFT.

Cell and atoms, written as POSCAR:
```
AuSCl2F
1.0
4.9344 0.0000 0.0000
0.0000 4.9344 0.0000
0.0000 0.0000 4.9361
Au S Cl F
1 1 2 1
Direct
0.0000 0.0000 0.0000
0.0000 0.0000 0.5000
0.0000 0.5000 0.0000
0.5000 0.0000 0.0000
0.5000 0.5000 0.5000
```

Calculated values
The value obtained for the mass density is 4.41 g cm⁻³. The space group is No. 123. The uncorrected formation energy comes out at 0.35 eV per atom. The volume comes out at 24.037 A^3/atom. The value obtained for the offset from the most stable computed form is 0.0 kJ/mol of atoms.

[3]
Computed, not measured: AuSCl2F after structural relaxation at the PBE level of DFT.

Cell and atoms, written as POSCAR:
```
AuSCl2F
1.0
5.4608 0.0000 0.0000
0.0000 5.4608 0.0000
0.0000 0.0000 3.5842
Au S Cl F
1 1 2 1
Direct
0.0000 0.0000 0.0000
0.5000 0.5000 0.0000
0.0000 0.5000 0.5000
0.5000 0.0000 0.5000
0.5000 0.5000 0.5000
```

Calculated values
The value obtained for the mass density is 4.96 g cm⁻³. The space group is No. 123. The uncorrected formation energy comes out at 0.51 eV per atom. The volume comes out at 21.377 A^3/atom. The value obtained for the offset from the most stable computed form is 15.4 kJ/mol of atoms.

[4]
Computed, not measured: SbAu2ClF after structural relaxation at the PBE level of DFT.

Cell and atoms, written as POSCAR:
```
SbAu2ClF
1.0
5.0332 0.0000 0.0000
0.0000 5.0332 0.0000
0.0000 0.0000 4.1835
Sb Au Cl F
1 2 1 1
Direct
0.0000 0.0000 0.0000
0.0000 0.5000 0.5000
0.5000 0.0000 0.5000
0.5000 0.5000 0.5000
0.5000 0.5000 0.0000
```

Calculated values
The value obtained for the mass density is 8.93 g cm⁻³. The space group is No. 123. The uncorrected formation energy comes out at 0.31 eV per atom. The volume comes out at 21.197 A^3/atom.

[5]
Computed, not measured: ZnAuCl2F after structural relaxation at the PBE level of DFT.

Cell and atoms, written as POSCAR:
```
ZnAuCl2F
1.0
5.0881 0.0000 0.0000
0.0000 5.0881 0.0000
0.0000 0.0000 4.3128
Zn Au Cl F
1 1 2 1
Direct
0.0000 0.0000 0.0000
0.5000 0.5000 0.5000
0.0000 0.5000 0.5000
0.5000 0.0000 0.5000
0.5000 0.5000 0.0000
```

Calculated values
The value obtained for the mass density is 5.24 g cm⁻³. The space group is No. 123. The uncorrected formation energy comes out at -0.28 eV per atom. The volume comes out at 22.331 A^3/atom.

[6]
Computed, not measured: FeAuCl4 after structural relaxation at the PBE level of DFT.

Cell and atoms, written as POSCAR:
```
FeAuCl4
1.0
5.9299 0.0000 0.0000
0.0000 5.9299 0.0000
0.0000 0.0000 10.4812
Fe Au Cl
2 2 8
Direct
0.0000 0.5000 0.2500
0.5000 0.0000 0.7500
0.0000 0.0000 0.0000
0.0000 0.0000 0.5000
0.2243 0.2864 0.3699
0.2243 0.7136 0.1301
0.2864 0.2243 0.8699
0.2864 0.7757 0.6301
0.7136 0.2243 0.6301
0.7136 0.7757 0.8699
0.7757 0.2864 0.1301
0.7757 0.7136 0.3699
```

Calculated values
The value obtained for the mass density is 3.56 g cm⁻³. The space group is No. 112. The uncorrected formation energy comes out at -0.51 eV per atom. The volume comes out at 30.713 A^3/atom. The value obtained for the offset from the most stable computed form is 0.0 kJ/mol of atoms.

Question: The highest mass density belongs to which entry?
Answer: SbAu2ClF